# BaHf2As (PBE, relaxed)
data_BaHf2As
_space_group_name_H-M_alt 'I -4 2 d'
_space_group_IT_number 122
_space_group_name_Hall 'I -4 2bw'
_cell_length_a 5.2034
_cell_length_b 5.2034
_cell_length_c 19.5049
_cell_angle_alpha 90.00
_cell_angle_beta 90.00
_cell_angle_gamma 90.00
loop_
_atom_site_label
_atom_site_fract_x
_atom_site_fract_y
_atom_site_fract_z
_atom_site_occupancy
Ba1 0.0000 0.0000 0.0000 1
Hf1 0.0265 0.2500 0.6250 1
As1 0.0000 0.0000 0.5000 1
# E_tot (eV per atom): -6.37